CrAsCl | GGA-PBE | relaxed

Geometry as POSCAR:
```
CrAsCl
1.0
3.9581 0.0000 0.0000
-0.4410 5.5253 0.0000
-0.6061 -2.2941 6.3653
Cr As Cl
2 2 2
direct
0.0846 0.2231 0.4684
0.9154 0.7769 0.5316
0.3986 0.6500 0.6663
0.6014 0.3500 0.3337
0.0471 0.8240 0.2310
0.9529 0.1760 0.7690
```

## Properties
symmetry	No. 2



Cr2AsCl | GGA-PBE | relaxed

Geometry as POSCAR:
```
Cr2AsCl
1.0
-1.7044 1.7508 6.6906
1.7044 -1.7508 6.6906
1.7044 1.7508 -6.6906
Cr As Cl
2 1 1
direct
0.0000 0.0000 0.0000
0.6985 0.1985 0.5000
0.5535 0.5535 0.0000
0.2963 0.7963 0.5000
```

## Properties
symmetry	No. 44



no.,relative energy among the computed polymorphs (eV/atom)
1,0.0538
2,0.1032